NiAuOF2 | GGA+U | relaxed

Values from the calculation:
Magnetic moment: 1.5 μB per cell
Calculated total energy: -3.0447 eV per atom
Energy above the most stable polymorph in this dataset: 0.620 eV per atom

Unit cell a=4.420 b=4.420 c=3.951 alpha=90.00 beta=90.00 gamma=90.00
Atoms (fractional coordinates):
Ni (0.000, 0.000, 0.000)
Au (0.500, 0.500, 0.500)
O (0.500, 0.500, 0.000)
F (0.000, 0.500, 0.500)
F (0.500, 0.000, 0.500)